Record 1
Entry from Alexandria via LeMat-Bulk: a geometry-optimized Re4HgW structure (PBE-GGA).

extended XYZ file:
```
6
Lattice="0.000 3.683 3.683 3.683 0.000 3.683 3.683 3.683 0.000" Properties=species:S:1:pos:R:3 pbc="T T T"
Re 4.608 4.608 4.608
Re 2.757 4.608 2.757
Re 4.608 2.757 2.757
Re 2.757 2.757 4.608
Hg 0.000 0.000 0.000
W 1.841 1.841 1.841
```

Energy of formation   0.591 eV/atom
Space-group type   No. 216


Record 2
Entry from Alexandria via LeMat-Bulk: a geometry-optimized NaSiB structure (PBE-GGA).

extended XYZ file:
```
12
Lattice="-4.037 -7.951 -9.638 3.044 0.575 -1.749 2.158 -4.037 2.427" Properties=species:S:1:pos:R:3 pbc="T T T"
Si 0.519 -1.354 -1.351
Si -0.952 -6.353 -5.555
Si 0.645 -10.059 -7.610
Si 2.117 -5.060 -3.407
Na -0.459 -3.184 -3.654
Na 1.623 -8.229 -5.307
Na 3.045 -3.137 -1.159
Na -1.881 -8.276 -7.802
B 0.582 -5.706 -4.481
B 1.522 0.288 -0.875
B 0.000 0.000 0.000
B -0.940 -5.994 -3.606
```

E_tot   -0.297 Ry per atom
Space-group type   No. 62


Record 3
Entry from Alexandria via LeMat-Bulk: a geometry-optimized LiScP2O structure (PBE-GGA).

extended XYZ file:
```
5
Lattice="4.622 0.000 0.000 0.000 4.622 0.000 0.000 0.000 3.398" Properties=species:S:1:pos:R:3 pbc="T T T"
Sc 2.311 2.311 1.699
Li 0.000 0.000 0.000
O 0.000 0.000 1.699
P 0.000 2.311 0.000
P 2.311 0.000 0.000
```

Space-group type   No. 123
Energy relative to the lowest polymorph listed for this composition   209 meV per atom


Record 4
Entry from Alexandria via LeMat-Bulk: a geometry-optimized ZrNb14W structure (PBE-GGA).

extended XYZ file:
```
16
Lattice="5.781 0.159 0.000 -2.119 5.381 0.000 0.000 0.000 9.318" Properties=species:S:1:pos:R:3 pbc="T T T"
Nb 1.932 0.777 2.317
Nb -0.073 2.038 4.659
Nb 3.705 3.458 7.001
Nb -1.131 4.728 0.000
Nb 0.830 3.432 2.333
Nb 1.758 4.808 4.659
Nb 4.807 0.803 6.985
Nb -0.071 2.037 0.000
Nb 0.830 3.432 6.985
Nb 1.759 4.807 0.000
Nb 3.705 3.458 2.317
Nb 4.807 0.803 2.333
Nb 1.932 0.777 7.001
Nb 2.819 2.117 0.000
W 2.818 2.118 4.659
Zr -1.133 4.729 4.659
```

Energy of formation   0.011 eV/atom
Space-group type   No. 65